The following is a DFT calculation (PBE) of a relaxed Y2MgTlH crystal.

## Properties
Offset from the most stable computed form (meV per atom): 0.0
Magnetic moment (μB per formula unit): 0.97

abc: 4.7780 4.7780 4.6450
angles: 90.00 90.00 90.00
Space group P4/mmm (No. 123)
Inequivalent atoms, fractional coordinates:
Y 0.0000 0.5000 0.0000
Mg 0.0000 0.0000 0.5000
Tl 0.5000 0.5000 0.5000
H 0.0000 0.0000 0.0000

The following is a DFT calculation (PBE) of a relaxed YMgTl2H crystal.

## Properties
Calculated total energy (Ha/atom): -0.12293
Magnetic moment (μB per formula unit): 0.00

abc: 5.0755 5.0755 4.2503
angles: 90.00 90.00 90.00
Space group P4/mmm (No. 123)
Inequivalent atoms, fractional coordinates:
Y 0.0000 0.0000 0.0000
Mg 0.5000 0.5000 0.0000
Tl 0.0000 0.5000 0.5000
H 0.0000 0.0000 0.5000

The following is a DFT calculation (PBE) of a relaxed YMg2TlH crystal.

## Properties
Calculated total energy (Ha/atom): -0.12233
Magnetic moment (μB per formula unit): 0.00

abc: 4.6163 4.6163 4.5494
angles: 90.00 90.00 90.00
Space group P4/mmm (No. 123)
Inequivalent atoms, fractional coordinates:
Y 0.0000 0.0000 0.0000
Mg 0.0000 0.5000 0.5000
Tl 0.5000 0.5000 0.0000
H 0.0000 0.0000 0.5000

The following is a DFT calculation (PBE) of a relaxed Mg2ZrTlH crystal.

## Properties
Calculated total energy (Ha/atom): -0.13308
Magnetic moment (μB per formula unit): 0.00

abc: 4.4745 4.4745 4.3445
angles: 90.00 90.00 90.00
Space group P4/mmm (No. 123)
Inequivalent atoms, fractional coordinates:
Mg 0.0000 0.5000 0.0000
Zr 0.0000 0.0000 0.5000
Tl 0.5000 0.5000 0.5000
H 0.0000 0.0000 0.0000

magnetic moment of number 3 (YMg2TlH)? 0.00 μB per formula unit

What did the first record say?
The following is a DFT calculation (PBE) of a relaxed Y2MgTlH crystal.

## Properties
Offset from the most stable computed form (meV per atom): 0.0
Magnetic moment (μB per formula unit): 0.97

abc: 4.7780 4.7780 4.6450
angles: 90.00 90.00 90.00
Space group P4/mmm (No. 123)
Inequivalent atoms, fractional coordinates:
Y 0.0000 0.5000 0.0000
Mg 0.0000 0.0000 0.5000
Tl 0.5000 0.5000 0.5000
H 0.0000 0.0000 0.0000